# 1
# Pr3HoEr2Se6

A relaxed Pr3HoEr2Se6 crystal (PBE, Alexandria via LeMat-Bulk).

POSCAR file:
```
Pr3HoEr2Se6
1.0
-3.010 -3.947 -5.072
1.802 -2.930 6.207
-5.923 3.840 2.180
Pr Ho Er Se
3 1 2 6
Cartesian
-1.958 -1.178 5.426
-5.173 -1.858 -2.110
-3.565 -1.518 1.658
0.000 0.000 0.000
0.197 -3.269 2.446
-1.405 -3.607 -1.311
-6.283 -2.412 0.652
-2.251 -4.221 1.341
-0.847 -0.624 2.663
-4.673 -2.072 4.426
-4.880 1.185 1.975
-2.457 -0.964 -1.110
```

The space group is C2/m, No. 12. The calculation puts the formation energy from raw total energies at -1.7857 eV per atom.

***

# 2
# CeDyGa2Pd2

A relaxed CeDyGa2Pd2 crystal (PBE, Alexandria via LeMat-Bulk).

POSCAR file:
```
CeDyGa2Pd2
1.0
4.536 0.000 0.000
-2.268 3.928 0.000
0.000 0.000 6.864
Ce Dy Ga Pd
1 1 2 2
Cartesian
0.000 0.000 0.000
0.000 0.000 3.432
0.000 2.619 5.069
2.268 1.309 1.795
0.000 2.619 1.805
2.268 1.309 5.059
```

Its formation energy is -0.81 eV/atom. The space group is P-3m1, No. 164.

***

# 3
# Sm2Er2Tm7

A relaxed Sm2Er2Tm7 crystal (PBE, Alexandria via LeMat-Bulk).

POSCAR file:
```
Sm2Er2Tm7
1.0
7.312 2.681 1.593
3.888 8.989 -2.968
-0.391 -2.681 7.473
Sm Er Tm
2 2 7
Cartesian
3.948 4.702 4.161
6.861 4.286 1.938
4.934 0.000 6.464
1.987 0.000 2.603
4.244 6.077 0.171
7.875 6.077 4.928
4.926 1.513 3.415
1.944 4.494 -1.484
5.883 7.475 2.684
6.565 2.912 5.928
2.934 2.912 1.171
```

For the offset from the most stable computed form, the calculation gives 0 meV/atom. Its formation energy is 0.16 eV/atom. The space group is C2/m, No. 12.

***

# 4
# MnIrW2

A relaxed MnIrW2 crystal (PBE, Alexandria via LeMat-Bulk).

POSCAR file:
```
MnIrW2
1.0
0.000 3.099 3.099
3.099 0.000 3.099
3.099 3.099 0.000
Mn Ir W
1 1 2
Cartesian
0.000 0.000 0.000
3.099 3.099 3.099
1.550 1.550 1.550
4.649 4.649 4.649
```

For the offset from the most stable computed form, the calculation gives 300 meV/atom. Its formation energy is 0.26 eV/atom. The space group is Fm-3m, No. 225.

***

Computed magnetization (μB per formula unit) in order:
0.00; 0.56; 0.00; 2.19
Computed mass density (g/cm³) in order:
7.61; 8.89; 8.69; 17.14
Computed electronic total energy (eV per formula unit) in order:
-70.4; -31.9; -48.1; -42.9